Entry from Alexandria via LeMat-Bulk: an optimized crystal structure of AcBe2Si2 (PBE).

Output
For the total magnetization, the calculation gives 0.00 Bohr magnetons per cell. The raw formation energy is -0.2573 eV per atom.

The structure in POSCAR format:
```
AcBe2Si2
1.0
3.028 -5.203 0.000
3.028 5.203 0.000
-3.001 0.000 5.617
Ac Be Si
2 4 4
Cartesian
0.777 3.906 4.213 Ac
2.278 -3.906 1.404 Ac
2.273 1.302 0.234 Be
2.282 1.302 2.575 Be
0.773 -1.302 3.042 Be
0.781 -1.302 5.383 Be
2.278 3.263 1.404 Si
0.777 0.659 4.213 Si
2.278 -0.659 1.404 Si
0.777 -3.263 4.213 Si
```

---

Entry from Alexandria via LeMat-Bulk: an optimized crystal structure of Ac2BeSi (PBE).

Output
For the total magnetization, the calculation gives 0.01 Bohr magnetons per cell. The raw formation energy is 0.5738 eV per atom. The energy above the most stable polymorph in this dataset comes out at 13.38 kcal/mol of atoms.

The structure in POSCAR format:
```
Ac2BeSi
1.0
2.248 1.298 9.613
-2.248 1.298 9.613
0.000 -2.595 9.613
Ac Be Si
2 1 1
Cartesian
0.000 0.000 3.143 Ac
0.000 0.000 25.695 Ac
0.000 0.000 0.000 Be
0.000 0.000 14.419 Si
```

---

Entry from Alexandria via LeMat-Bulk: an optimized crystal structure of Ac2BeSi2 (PBE).

Output
For the total magnetization, the calculation gives 0.00 Bohr magnetons per cell. The raw formation energy is -0.4706 eV per atom.

The structure in POSCAR format:
```
Ac2BeSi2
1.0
5.780 -2.087 0.000
5.780 2.087 0.000
-3.580 0.000 10.331
Ac Be Si
4 2 4
Cartesian
-0.355 0.000 4.194 Ac
0.395 0.000 8.894 Ac
7.585 0.000 1.437 Ac
8.334 0.000 6.137 Ac
4.326 0.000 1.837 Be
3.654 0.000 8.494 Be
-2.814 0.000 9.375 Si
2.904 0.000 3.610 Si
5.076 0.000 6.721 Si
10.793 0.000 0.956 Si
```

---

Entry from Alexandria via LeMat-Bulk: an optimized crystal structure of Ac2BeSi3 (PBE).

Output
For the total magnetization, the calculation gives 0.00 Bohr magnetons per cell. The raw formation energy is -0.5557 eV per atom. The energy above the most stable polymorph in this dataset comes out at 0.37 kcal/mol of atoms.

The structure in POSCAR format:
```
Ac2BeSi3
1.0
4.076 0.000 0.000
0.000 4.740 0.000
0.000 0.000 7.003
Ac Be Si
2 1 3
Cartesian
0.000 0.000 0.000 Ac
2.038 0.000 3.477 Ac
0.000 2.370 4.703 Be
0.000 2.370 2.433 Si
2.038 2.370 1.140 Si
2.038 2.370 5.731 Si
```

---

Entry from Alexandria via LeMat-Bulk: an optimized crystal structure of Ac2BeSi3 (PBE).

Output
For the total magnetization, the calculation gives 0.00 Bohr magnetons per cell. The raw formation energy is -0.5716 eV per atom. The energy above the most stable polymorph in this dataset comes out at 0.00 kcal/mol of atoms.

The structure in POSCAR format:
```
Ac2BeSi3
1.0
0.000 4.729 7.038
4.053 0.000 7.038
4.053 4.729 0.000
Ac Be Si
4 2 6
Cartesian
4.053 2.328 7.038 Ac
2.026 2.364 3.519 Ac
6.079 7.093 10.557 Ac
4.053 7.130 7.038 Ac
4.053 4.729 4.693 Be
4.053 4.729 9.383 Be
4.053 4.729 2.425 Si
5.994 4.729 5.829 Si
5.994 4.729 8.247 Si
2.112 4.729 5.829 Si
2.112 4.729 8.247 Si
4.053 4.729 11.651 Si
```

---

Entry from Alexandria via LeMat-Bulk: an optimized crystal structure of Ac3Be2Si2 (PBE).

Output
For the total magnetization, the calculation gives 0.00 Bohr magnetons per cell. The raw formation energy is -0.2257 eV per atom.

The structure in POSCAR format:
```
Ac3Be2Si2
1.0
5.683 -2.153 0.000
5.683 2.153 0.000
-4.063 0.000 7.455
Ac Be Si
3 2 2
Cartesian
0.000 0.000 0.000 Ac
-0.616 0.000 4.744 Ac
7.920 0.000 2.711 Ac
3.221 0.000 0.492 Be
4.083 0.000 6.963 Be
2.621 0.000 5.220 Si
4.682 0.000 2.235 Si
```

---

Entry from Alexandria via LeMat-Bulk: an optimized crystal structure of AcBeSi (PBE).

Output
For the total magnetization, the calculation gives 0.10 Bohr magnetons per cell. The raw formation energy is -0.3784 eV per atom. The energy above the most stable polymorph in this dataset comes out at 1.31 kcal/mol of atoms.

The structure in POSCAR format:
```
AcBeSi
1.0
-2.032 3.547 4.620
2.032 -3.547 4.620
2.032 3.547 -4.620
Ac Be Si
2 2 2
Cartesian
0.000 0.000 2.282 Ac
0.000 0.000 6.958 Ac
0.000 2.395 0.000 Be
0.000 4.699 0.000 Be
2.032 1.247 0.000 Si
0.000 2.301 4.620 Si
```

---

Entry from Alexandria via LeMat-Bulk: an optimized crystal structure of Ac3Be2Si3 (PBE).

Output
For the total magnetization, the calculation gives 0.00 Bohr magnetons per cell. The raw formation energy is -0.4056 eV per atom.

The structure in POSCAR format:
```
Ac3Be2Si3
1.0
2.032 -5.851 0.000
2.032 5.851 0.000
0.000 0.000 15.824
Ac Be Si
6 4 6
Cartesian
2.032 5.607 11.868 Ac
2.032 1.881 9.367 Ac
2.032 1.881 14.369 Ac
2.032 -1.881 1.455 Ac
2.032 -1.881 6.457 Ac
2.032 -5.607 3.956 Ac
2.032 1.449 1.863 Be
2.032 1.449 6.049 Be
2.032 -1.449 9.775 Be
2.032 -1.449 13.961 Be
2.032 5.047 8.816 Si
2.032 5.047 14.919 Si
2.032 2.747 3.956 Si
2.032 -2.747 11.868 Si
2.032 -5.047 0.905 Si
2.032 -5.047 7.007 Si
```

---

Entry from Alexandria via LeMat-Bulk: an optimized crystal structure of AcBeSi2 (PBE).

Output
For the total magnetization, the calculation gives 0.00 Bohr magnetons per cell. The raw formation energy is -0.2101 eV per atom.

The structure in POSCAR format:
```
AcBeSi2
1.0
-2.131 2.131 4.606
2.131 -2.131 4.606
2.131 2.131 -4.606
Ac Be Si
1 1 2
Cartesian
0.000 0.000 0.000 Ac
2.131 0.000 2.303 Be
0.000 0.000 3.407 Si
0.000 0.000 5.805 Si
```

---

Entry from Alexandria via LeMat-Bulk: an optimized crystal structure of AcSmBe2Si2 (PBE).

Output
For the total magnetization, the calculation gives 0.00 Bohr magnetons per cell. The raw formation energy is -0.5292 eV per atom.

The structure in POSCAR format:
```
AcSmBe2Si2
1.0
3.993 0.000 0.000
-1.997 3.458 0.000
0.000 0.000 8.812
Ac Sm Be Si
1 1 2 2
Cartesian
0.000 0.000 0.000 Ac
0.000 0.000 4.406 Sm
0.000 2.305 6.446 Be
1.997 1.153 2.366 Be
0.000 2.305 2.369 Si
1.997 1.153 6.443 Si
```

---

Entry from Alexandria via LeMat-Bulk: an optimized crystal structure of AcThBe2Si2 (PBE).

Output
For the total magnetization, the calculation gives 0.00 Bohr magnetons per cell. The raw formation energy is -0.5482 eV per atom.

The structure in POSCAR format:
```
AcThBe2Si2
1.0
3.990 0.000 0.000
-1.995 3.456 0.000
0.000 0.000 8.929
Ac Th Be Si
1 1 2 2
Cartesian
0.000 0.000 0.000 Ac
0.000 0.000 4.464 Th
0.000 2.304 2.401 Be
1.995 1.152 6.528 Be
0.000 2.304 6.557 Si
1.995 1.152 2.371 Si
```

---

Entry from Alexandria via LeMat-Bulk: an optimized crystal structure of AcSm2Be (PBE).

Output
For the total magnetization, the calculation gives 0.00 Bohr magnetons per cell. The formation energy comes out at 0.125 eV per atom. The energy above the most stable polymorph in this dataset comes out at 0.00 kcal/mol of atoms.

The structure in POSCAR format:
```
AcSm2Be
1.0
3.614 0.000 0.000
0.000 3.614 0.000
0.000 0.000 9.097
Ac Sm Be
1 2 1
Cartesian
0.000 0.000 0.000 Ac
1.807 1.807 2.923 Sm
1.807 1.807 6.174 Sm
0.000 0.000 4.548 Be
```

---

Entry from Alexandria via LeMat-Bulk: an optimized crystal structure of AcSm2Be (PBE).

Output
For the total magnetization, the calculation gives 0.00 Bohr magnetons per cell. The formation energy comes out at 0.760 eV per atom. The energy above the most stable polymorph in this dataset comes out at 14.66 kcal/mol of atoms.

The structure in POSCAR format:
```
AcSm2Be
1.0
1.828 1.055 11.736
-1.828 1.055 11.736
0.000 -2.111 11.736
Ac Sm Be
1 2 1
Cartesian
0.000 0.000 0.000 Ac
0.000 0.000 14.706 Sm
0.000 0.000 20.502 Sm
0.000 0.000 17.604 Be
```

---

Entry from Alexandria via LeMat-Bulk: an optimized crystal structure of AcBeSn2 (PBE).

Output
For the total magnetization, the calculation gives 0.00 Bohr magnetons per cell. The formation energy comes out at 0.023 eV per atom.

The structure in POSCAR format:
```
AcBeSn2
1.0
3.701 0.000 0.000
0.000 3.701 0.000
0.000 0.000 7.460
Ac Be Sn
1 1 2
Cartesian
0.000 0.000 0.000 Ac
0.000 0.000 3.730 Be
1.851 1.851 2.314 Sn
1.851 1.851 5.146 Sn
```

---

Entry from Alexandria via LeMat-Bulk: an optimized crystal structure of Ac2BeSn3 (PBE).

Output
For the total magnetization, the calculation gives 0.00 Bohr magnetons per cell. The formation energy comes out at -0.458 eV per atom.

The structure in POSCAR format:
```
Ac2BeSn3
1.0
4.519 0.000 0.000
0.000 4.752 0.000
0.000 0.000 8.181
Ac Be Sn
2 1 3
Cartesian
0.000 0.000 0.000 Ac
2.259 0.000 4.029 Ac
2.259 2.376 1.462 Be
0.000 2.376 2.434 Sn
0.000 2.376 5.363 Sn
2.259 2.376 7.151 Sn
```

---

Entry from Alexandria via LeMat-Bulk: an optimized crystal structure of Ac3Be2Sn4 (PBE).

Output
For the total magnetization, the calculation gives 0.00 Bohr magnetons per cell. The formation energy comes out at -0.485 eV per atom.

The structure in POSCAR format:
```
Ac3Be2Sn4
1.0
6.208 -2.237 0.000
6.208 2.237 0.000
-1.185 0.000 9.057
Ac Be Sn
3 2 4
Cartesian
0.000 0.000 0.000 Ac
3.834 0.000 3.033 Ac
7.397 0.000 6.024 Ac
4.123 0.000 6.554 Be
7.108 0.000 2.503 Be
0.406 0.000 3.432 Sn
2.460 0.000 8.343 Sn
8.771 0.000 0.715 Sn
10.825 0.000 5.625 Sn
```

---

Entry from Alexandria via LeMat-Bulk: an optimized crystal structure of AcTbBe (PBE).

Output
For the total magnetization, the calculation gives 0.00 Bohr magnetons per cell. The formation energy comes out at 0.399 eV per atom.

The structure in POSCAR format:
```
AcTbBe
1.0
3.885 0.000 0.000
-1.942 3.364 0.000
0.000 0.000 13.957
Ac Tb Be
2 2 2
Cartesian
0.000 0.000 2.122 Ac
0.000 0.000 11.835 Ac
1.942 1.121 5.200 Tb
1.942 1.121 8.757 Tb
0.000 0.000 6.978 Be
1.942 1.121 0.000 Be
```

---

Entry from Alexandria via LeMat-Bulk: an optimized crystal structure of AcBeTe (PBE).

Output
For the total magnetization, the calculation gives 0.00 Bohr magnetons per cell. The raw formation energy is -0.3853 eV per atom. The energy above the most stable polymorph in this dataset comes out at 4.79 kcal/mol of atoms.

The structure in POSCAR format:
```
AcBeTe
1.0
4.356 0.000 0.000
-2.178 3.773 0.000
0.000 0.000 4.710
Ac Be Te
1 1 1
Cartesian
0.000 0.000 0.000 Ac
0.000 2.515 2.287 Be
2.178 1.258 2.366 Te
```

---

Entry from Alexandria via LeMat-Bulk: an optimized crystal structure of AcBeTe2 (PBE).

Output
For the total magnetization, the calculation gives 0.00 Bohr magnetons per cell. The raw formation energy is -0.0870 eV per atom.

The structure in POSCAR format:
```
AcBeTe2
1.0
1.963 1.133 9.426
-1.963 1.133 9.426
0.000 -2.266 9.426
Ac Be Te
1 1 2
Cartesian
0.000 0.000 0.000 Ac
0.000 0.000 14.139 Be
0.000 0.000 3.259 Te
0.000 0.000 25.019 Te
```

---

Entry from Alexandria via LeMat-Bulk: an optimized crystal structure of AcBeTe (PBE).

Output
For the total magnetization, the calculation gives 0.00 Bohr magnetons per cell. The raw formation energy is -0.5930 eV per atom. The energy above the most stable polymorph in this dataset comes out at 0.00 kcal/mol of atoms.

The structure in POSCAR format:
```
AcBeTe
1.0
8.224 -2.179 0.000
8.224 2.179 0.000
-0.361 0.000 4.826
Ac Be Te
2 2 2
Cartesian
0.000 0.000 0.000 Ac
11.986 0.000 2.020 Ac
2.650 0.000 4.539 Be
10.098 0.000 4.338 Be
5.134 0.000 4.612 Te
8.563 0.000 2.440 Te
```